No. 1
Entry from Alexandria: BaTlPb2 after structural relaxation (GGA-PBEsol).

The density is 9.76 Mg/m³. The value obtained for the energy above the most stable polymorph in this dataset is 12.22 kJ/mol of atoms. The calculation puts the formation energy at -0.22 eV per atom.

It has space group Fm-3m (No. 225), with a = 8.015 Å, b = 8.015 Å, c = 8.015 Å, α = 90.00°, β = 90.00° and γ = 90.00°. The distinct sites, in fractional coordinates, are Ba at (0.000, 0.000, 0.000), Tl at (0.000, 0.000, 0.500) and Pb at (0.250, 0.250, 0.250).

No. 2
Entry from Alexandria: BaTl2Pb after structural relaxation (GGA-PBEsol).

The density is 9.99 Mg/m³. The value obtained for the energy above the most stable polymorph in this dataset is 3.38 kJ/mol of atoms. The calculation puts the formation energy at -0.31 eV per atom.

It has space group P4/mmm (No. 123), with a = 4.975 Å, b = 4.975 Å, c = 5.060 Å, α = 90.00°, β = 90.00° and γ = 90.00°. The distinct sites, in fractional coordinates, are Ba at (0.000, 0.000, 0.000), Tl at (0.000, 0.500, 0.500) and Pb at (0.500, 0.500, 0.000).

No. 3
Entry from Alexandria: BaTl2Pb after structural relaxation (GGA-PBEsol).

The density is 9.47 Mg/m³. The value obtained for the energy above the most stable polymorph in this dataset is 4.28 kJ/mol of atoms. The calculation puts the formation energy at -0.30 eV per atom.

It has space group Cm (No. 8), with a = 9.710 Å, b = 4.888 Å, c = 5.986 Å, α = 90.00°, β = 111.55° and γ = 90.00°. The distinct sites, in fractional coordinates, are Ba at (0.000, 0.000, 0.000), Tl at (0.003, 0.500, 0.518), Tl at (0.238, 0.000, 0.688) and Pb at (0.261, 0.500, 0.315).

No. 4
Entry from Alexandria: BaTl2Pb after structural relaxation (GGA-PBEsol).

The density is 9.64 Mg/m³. The value obtained for the energy above the most stable polymorph in this dataset is 9.52 kJ/mol of atoms. The calculation puts the formation energy at -0.25 eV per atom.

It has space group P2/m (No. 10), with a = 3.714 Å, b = 5.466 Å, c = 6.420 Å, α = 90.00°, β = 95.47° and γ = 90.00°. The distinct sites, in fractional coordinates, are Ba at (0.000, 0.000, 0.000), Tl at (0.319, 0.500, 0.728) and Pb at (0.500, 0.000, 0.500).

No. 5
Entry from Alexandria: BaTlPb2 after structural relaxation (GGA-PBEsol).

The density is 9.67 Mg/m³. The value obtained for the energy above the most stable polymorph in this dataset is 5.71 kJ/mol of atoms. The calculation puts the formation energy at -0.29 eV per atom.

It has space group Pmm2 (No. 25), with a = 3.970 Å, b = 4.330 Å, c = 7.553 Å, α = 90.00°, β = 90.00° and γ = 90.00°. The distinct sites, in fractional coordinates, are Ba at (0.000, 0.000, 0.000), Tl at (0.500, 0.500, 0.715), Pb at (0.000, 0.000, 0.500) and Pb at (0.500, 0.500, 0.297).

No. 6
Entry from Alexandria: BaTlPb2 after structural relaxation (GGA-PBEsol).

The density is 9.37 Mg/m³. The value obtained for the energy above the most stable polymorph in this dataset is 4.07 kJ/mol of atoms. The calculation puts the formation energy at -0.31 eV per atom.

It has space group C2/m (No. 12), with a = 10.480 Å, b = 4.647 Å, c = 5.841 Å, α = 90.00°, β = 109.64° and γ = 90.00°. The distinct sites, in fractional coordinates, are Ba at (0.000, 0.000, 0.000), Tl at (0.000, 0.500, 0.500) and Pb at (0.242, 0.000, 0.682).

No. 7
Entry from Alexandria: BaTl2Pb after structural relaxation (GGA-PBEsol).

The density is 9.82 Mg/m³. The value obtained for the energy above the most stable polymorph in this dataset is 5.47 kJ/mol of atoms. The calculation puts the formation energy at -0.29 eV per atom.

It has space group I-4m2 (No. 119), with a = 5.282 Å, b = 5.282 Å, c = 9.130 Å, α = 90.00°, β = 90.00° and γ = 90.00°. The distinct sites, in fractional coordinates, are Ba at (0.000, 0.000, 0.000), Tl at (0.000, 0.000, 0.500), Tl at (0.000, 0.500, 0.750) and Pb at (0.000, 0.500, 0.250).

No. 8
Entry from Alexandria: BaTlPb2 after structural relaxation (GGA-PBEsol).

The density is 9.47 Mg/m³. The value obtained for the energy above the most stable polymorph in this dataset is 0.92 kJ/mol of atoms. The calculation puts the formation energy at -0.34 eV per atom.

It has space group Imm2 (No. 44), with a = 4.818 Å, b = 5.009 Å, c = 10.986 Å, α = 90.00°, β = 90.00° and γ = 90.00°. The distinct sites, in fractional coordinates, are Ba at (0.000, 0.000, 0.000), Tl at (0.000, 0.500, 0.224), Pb at (0.000, 0.000, 0.421) and Pb at (0.000, 0.500, 0.734).